[1]
{
  "formula": "Dy7Tm2Mg2",
  "functional": "GGA-PBE",
  "state": "optimized geometry",
  "de_polymorph_ev_per_fu": 0.258,
  "crystal_system": "monoclinic",
  "lattice": [[4.8028, -5.7941, 0.0000], [4.8028, 5.7941, 0.0000], [-2.5785, 0.0000, 6.1279]],
  "species": ["Dy", "Dy", "Dy", "Dy", "Dy", "Dy", "Dy", "Tm", "Tm", "Mg", "Mg"],
  "frac_coords": [[0.0000, 0.0000, 0.0000], [0.0722, 0.5759, 0.7985], [0.3290, 0.3290, 0.5147], [0.4241, 0.9278, 0.2015], [0.5759, 0.0722, 0.7985], [0.6710, 0.6710, 0.4853], [0.9278, 0.4241, 0.2015], [0.1376, 0.8624, 0.5000], [0.8624, 0.1376, 0.5000], [0.3440, 0.3440, 0.0284], [0.6560, 0.6560, 0.9716]]
}

=====

[2]
{
  "formula": "Dy8Tm5Mg",
  "functional": "GGA-PBE",
  "state": "optimized geometry",
  "crystal_system": "tetragonal",
  "lattice": [[-4.7623, 4.7623, 4.9404], [4.7623, -4.7623, 4.9404], [4.7623, 4.7623, -4.9404]],
  "species": ["Dy", "Dy", "Dy", "Dy", "Dy", "Dy", "Dy", "Dy", "Tm", "Tm", "Tm", "Tm", "Tm", "Mg"],
  "frac_coords": [[0.1550, 0.4272, 0.0882], [0.3390, 0.0668, 0.9118], [0.4179, 0.1579, 0.3949], [0.5728, 0.6610, 0.7278], [0.7630, 0.0230, 0.6051], [0.8421, 0.2370, 0.2600], [0.9332, 0.8450, 0.2722], [0.9770, 0.5821, 0.7400], [0.0000, 0.0000, 0.0000], [0.2153, 0.3150, 0.6898], [0.4746, 0.7847, 0.0997], [0.6251, 0.5254, 0.3102], [0.6850, 0.3749, 0.9003], [0.2500, 0.7500, 0.5000]]
}

=====

[3]
{
  "formula": "Dy5Tm4Mg",
  "functional": "GGA-PBE",
  "state": "optimized geometry",
  "de_polymorph_ev_per_fu": 2.884,
  "crystal_system": "tetragonal",
  "lattice": [[-5.0423, 5.0423, 3.0841], [5.0423, -5.0423, 3.0841], [5.0423, 5.0423, -3.0841]],
  "species": ["Dy", "Dy", "Dy", "Dy", "Dy", "Tm", "Tm", "Tm", "Tm", "Mg"],
  "frac_coords": [[0.0000, 0.0000, 0.0000], [0.4700, 0.5515, 0.6281], [0.5515, 0.9234, 0.0815], [0.8420, 0.4700, 0.9185], [0.9234, 0.8420, 0.3719], [0.1586, 0.5450, 0.3009], [0.2442, 0.8577, 0.6991], [0.5450, 0.2442, 0.3864], [0.8577, 0.1586, 0.6136], [0.4606, 0.4606, 0.0000]]
}

=====

[4]
{
  "formula": "Dy3Tm2Mg4",
  "functional": "GGA-PBE",
  "state": "optimized geometry",
  "crystal_system": "orthorhombic",
  "lattice": [[6.2304, -7.1611, 0.0000], [6.2304, 7.1611, 0.0000], [0.0000, 0.0000, 5.6410]],
  "species": ["Dy", "Dy", "Dy", "Dy", "Dy", "Dy", "Tm", "Tm", "Tm", "Tm", "Mg", "Mg", "Mg", "Mg", "Mg", "Mg", "Mg", "Mg"],
  "frac_coords": [[0.0000, 0.0000, 0.2500], [0.0000, 0.0000, 0.7500], [0.3168, 0.5069, 0.0000], [0.4931, 0.6832, 0.5000], [0.5069, 0.3168, 0.5000], [0.6832, 0.4931, 0.0000], [0.1524, 0.6602, 0.5000], [0.3398, 0.8476, 0.0000], [0.6602, 0.1524, 0.0000], [0.8476, 0.3398, 0.5000], [0.0006, 0.6686, 0.0000], [0.1723, 0.3037, 0.5000], [0.3037, 0.1723, 0.0000], [0.3314, 0.9994, 0.5000], [0.6686, 0.0006, 0.5000], [0.6963, 0.8277, 0.0000], [0.8277, 0.6963, 0.5000], [0.9994, 0.3314, 0.0000]]
}

=====

[5]
{
  "formula": "Dy7TmMg2",
  "functional": "GGA-PBE",
  "state": "optimized geometry",
  "crystal_system": "orthorhombic",
  "lattice": [[4.3811, -8.1811, 0.0000], [4.3811, 8.1811, 0.0000], [0.0000, 0.0000, 5.1933]],
  "species": ["Dy", "Dy", "Dy", "Dy", "Dy", "Dy", "Dy", "Tm", "Mg", "Mg"],
  "frac_coords": [[0.0000, 0.0000, 0.0000], [0.2062, 0.4301, 0.0000], [0.2916, 0.7084, 0.5000], [0.4301, 0.2062, 0.0000], [0.5699, 0.7938, 0.0000], [0.7084, 0.2916, 0.5000], [0.7938, 0.5699, 0.0000], [0.5000, 0.5000, 0.5000], [0.2005, 0.7995, 0.0000], [0.7995, 0.2005, 0.0000]]
}

=====

[6]
{
  "formula": "Dy8Tm6Mg",
  "functional": "GGA-PBE",
  "state": "optimized geometry",
  "de_polymorph_ev_per_fu": 0.710,
  "crystal_system": "trigonal",
  "lattice": [[9.3231, 0.0000, 0.0000], [-4.6616, 8.0741, 0.0000], [0.0000, 0.0000, 6.1815]],
  "species": ["Dy", "Dy", "Dy", "Dy", "Dy", "Dy", "Dy", "Dy", "Tm", "Tm", "Tm", "Tm", "Tm", "Tm", "Mg"],
  "frac_coords": [[0.0394, 0.7692, 0.1871], [0.2308, 0.2702, 0.1871], [0.2702, 0.0394, 0.8129], [0.3333, 0.6667, 0.1885], [0.6667, 0.3333, 0.8115], [0.7298, 0.9606, 0.1871], [0.7692, 0.7298, 0.8129], [0.9606, 0.2308, 0.8129], [0.0933, 0.6396, 0.6857], [0.3604, 0.4538, 0.6857], [0.4538, 0.0933, 0.3143], [0.5462, 0.9067, 0.6857], [0.6396, 0.5462, 0.3143], [0.9067, 0.3604, 0.3143], [0.0000, 0.0000, 0.5000]]
}

=====

[7]
{
  "formula": "DyTm2Mg6",
  "functional": "GGA-PBE",
  "state": "optimized geometry",
  "de_polymorph_ev_per_fu": 0.000,
  "crystal_system": "hexagonal",
  "lattice": [[9.0305, 0.0000, 0.0000], [-4.5153, 7.8207, 0.0000], [0.0000, 0.0000, 3.2606]],
  "species": ["Dy", "Tm", "Tm", "Mg", "Mg", "Mg", "Mg", "Mg", "Mg"],
  "frac_coords": [[0.0000, 0.0000, 0.0000], [0.3333, 0.6667, 0.0000], [0.6667, 0.3333, 0.0000], [0.0000, 0.3349, 0.5000], [0.0000, 0.6651, 0.5000], [0.3349, 0.0000, 0.5000], [0.3349, 0.3349, 0.5000], [0.6651, 0.0000, 0.5000], [0.6651, 0.6651, 0.5000]]
}

=====

[8]
{
  "formula": "Dy4TmMg2",
  "functional": "GGA-PBE",
  "state": "optimized geometry",
  "de_polymorph_ev_per_fu": 0.000,
  "crystal_system": "trigonal",
  "lattice": [[2.7067, 1.5627, 7.9610], [-2.7067, 1.5627, 7.9610], [0.0000, -3.1254, 7.9610]],
  "species": ["Dy", "Dy", "Dy", "Dy", "Tm", "Mg", "Mg"],
  "frac_coords": [[0.0737, 0.0737, 0.0737], [0.3458, 0.3458, 0.3458], [0.6542, 0.6542, 0.6542], [0.9263, 0.9263, 0.9263], [0.5000, 0.5000, 0.5000], [0.2108, 0.2108, 0.2108], [0.7892, 0.7892, 0.7892]]
}

=====

[9]
{
  "formula": "DyTm2Mg5",
  "functional": "GGA-PBE",
  "state": "optimized geometry",
  "crystal_system": "tetragonal",
  "lattice": [[-2.6094, 2.6094, 7.5228], [2.6094, -2.6094, 7.5228], [2.6094, 2.6094, -7.5228]],
  "species": ["Dy", "Tm", "Tm", "Mg", "Mg", "Mg", "Mg", "Mg"],
  "frac_coords": [[0.0000, 0.0000, 0.0000], [0.2549, 0.2549, 0.0000], [0.7451, 0.7451, 0.0000], [0.1211, 0.6211, 0.5000], [0.3789, 0.8789, 0.5000], [0.5000, 0.5000, 0.0000], [0.6211, 0.1211, 0.5000], [0.8789, 0.3789, 0.5000]]
}

=====

[10]
{
  "formula": "Dy2Tm5Mg",
  "functional": "GGA-PBE",
  "state": "optimized geometry",
  "de_polymorph_ev_per_fu": 0.000,
  "crystal_system": "monoclinic",
  "lattice": [[6.9645, -4.8599, 0.0000], [6.9645, 4.8599, 0.0000], [-0.0067, 0.0000, 3.4951]],
  "species": ["Dy", "Dy", "Tm", "Tm", "Tm", "Tm", "Tm", "Mg"],
  "frac_coords": [[0.2440, 0.2440, 0.0002], [0.7560, 0.7560, 0.9998], [0.0000, 0.0000, 0.0000], [0.1310, 0.6202, 0.4999], [0.3798, 0.8690, 0.5001], [0.6202, 0.1310, 0.4999], [0.8690, 0.3798, 0.5001], [0.5000, 0.5000, 0.0000]]
}

=====

[11]
{
  "formula": "Dy12Tm7Mg",
  "functional": "GGA-PBE",
  "state": "optimized geometry",
  "de_polymorph_ev_per_fu": 0.000,
  "crystal_system": "trigonal",
  "lattice": [[7.3914, 4.2674, 3.3069], [-7.3914, 4.2674, 3.3069], [0.0000, -8.5349, 3.3069]],
  "species": ["Dy", "Dy", "Dy", "Dy", "Dy", "Dy", "Dy", "Dy", "Dy", "Dy", "Dy", "Dy", "Tm", "Tm", "Tm", "Tm", "Tm", "Tm", "Tm", "Mg"],
  "frac_coords": [[0.1012, 0.4387, 0.2023], [0.1126, 0.2848, 0.8216], [0.1784, 0.8874, 0.7152], [0.2023, 0.1012, 0.4387], [0.2848, 0.8216, 0.1126], [0.4387, 0.2023, 0.1012], [0.5613, 0.7977, 0.8988], [0.7152, 0.1784, 0.8874], [0.7977, 0.8988, 0.5613], [0.8216, 0.1126, 0.2848], [0.8874, 0.7152, 0.1784], [0.8988, 0.5613, 0.7977], [0.0000, 0.0000, 0.0000], [0.1844, 0.4971, 0.6043], [0.3957, 0.8156, 0.5029], [0.4971, 0.6043, 0.1844], [0.5029, 0.3957, 0.8156], [0.6043, 0.1844, 0.4971], [0.8156, 0.5029, 0.3957], [0.5000, 0.5000, 0.5000]]
}

=====

[12]
{
  "formula": "Dy4Tm7Mg",
  "functional": "GGA-PBE",
  "state": "optimized geometry",
  "de_polymorph_ev_per_fu": 0.000,
  "crystal_system": "trigonal",
  "lattice": [[3.5028, 0.0000, 0.0000], [-1.7514, 3.0335, 0.0000], [0.0000, 0.0000, 33.9120]],
  "species": ["Dy", "Dy", "Dy", "Dy", "Tm", "Tm", "Tm", "Tm", "Tm", "Tm", "Tm", "Mg"],
  "frac_coords": [[0.3333, 0.6667, 0.1623], [0.3333, 0.6667, 0.4153], [0.6667, 0.3333, 0.5847], [0.6667, 0.3333, 0.8377], [0.0000, 0.0000, 0.2469], [0.0000, 0.0000, 0.5000], [0.0000, 0.0000, 0.7531], [0.3333, 0.6667, 0.6693], [0.3333, 0.6667, 0.9217], [0.6667, 0.3333, 0.0783], [0.6667, 0.3333, 0.3307], [0.0000, 0.0000, 0.0000]]
}

=====

no.,electronic total energy (eV/atom)
1,-3.839
2,-4.103
3,-3.957
4,-3.177
5,-3.412
6,-4.196
7,-2.626
8,-3.736
9,-2.749
10,-4.124
11,-4.238
12,-4.252